The following is a PBE-GGA calculation of a relaxed structure of Pr5Nd2Y12, from Alexandria.

a = 7.152 Å, b = 9.952 Å, c = 10.467 Å
α = 70.68°, β = 90.00°, γ = 111.06°
Fractional coordinates of all 19 atoms:
Pr 0.188 0.377 0.814
Pr 0.321 0.641 0.212
Pr 0.000 0.000 0.500
Pr 0.679 0.359 0.788
Pr 0.812 0.623 0.186
Nd 0.720 0.000 0.000
Nd 0.280 0.000 0.000
Y 0.976 0.951 0.244
Y 0.088 0.682 0.869
Y 0.594 0.682 0.869
Y 0.090 0.675 0.522
Y 0.585 0.675 0.522
Y 0.496 0.992 0.673
Y 0.504 0.008 0.327
Y 0.910 0.325 0.478
Y 0.415 0.325 0.478
Y 0.912 0.318 0.131
Y 0.406 0.318 0.131
Y 0.024 0.049 0.756

- SG = No. 12
- total magnetic moment (μB per formula unit) = 0.000
- total DFT energy (no corrections) (eV per atom) = -5.68
- energy relative to the lowest polymorph listed for this composition (eV per atom) = 0.058